Record 1
First-principles (PBE-GGA) data for LaBeRu2 after structural relaxation, as listed in the Alexandria database.

It has space group P4/mmm (No. 123), with a = 4.196 Å, b = 4.196 Å, c = 3.785 Å, α = 90.00°, β = 90.00° and γ = 90.00°. The distinct sites, in fractional coordinates, are La at (0.000, 0.000, 0.000), Be at (0.500, 0.500, 0.000) and Ru at (0.000, 0.500, 0.500).

As for the formation energy: 0.280 eV per atom. The value obtained for the total magnetization is 0.0 μB/cell.



Record 2
First-principles (PBE-GGA) data for LaBe2Ru after structural relaxation, as listed in the Alexandria database.

It has space group I4/mmm (No. 139), with a = 4.138 Å, b = 4.138 Å, c = 7.466 Å, α = 90.00°, β = 90.00° and γ = 90.00°. The distinct sites, in fractional coordinates, are La at (0.000, 0.000, 0.000), Be at (0.000, 0.500, 0.250) and Ru at (0.000, 0.000, 0.500).

As for the formation energy: 0.202 eV per atom. The value obtained for the total magnetization is 0.0 μB/cell.



> Which of these has the lowest formation energy?

LaBe2Ru